# 1
V5Mo3: relaxed, PBE.

Values from the calculation:
The calculation puts the density of states at the Fermi level at 8.91 states/eV/f.u. Its excess energy over the best structure of this formula in the dataset is 0 meV/atom. For the formation energy, the calculation gives -0.109 eV/atom. The space-group type is No. 123.

POSCAR file:
```
V5Mo3
1.0
-1.6879 -2.1278 1.4156
2.3421 -1.9667 -0.1635
4.0642 3.9441 10.7740
V Mo
5 3
direct
0.0000 0.0000 0.2506
0.5000 0.5000 0.6242
0.5000 0.5000 0.3758
0.0000 0.0000 0.7494
0.0000 0.0000 0.0000
0.5000 0.5000 0.1273
0.5000 0.5000 0.8727
0.0000 0.0000 0.5000
```


# 2
Tl2Cu2S5: relaxed, PBE.

Values from the calculation:
The calculation puts the density of states at the Fermi level at 3.18 states/eV/f.u. Its uncorrected formation energy is -52 meV per atom. The space-group type is No. 46.

POSCAR file:
```
Tl2Cu2S5
1.0
3.4666 0.0000 -0.9478
-2.0419 14.8686 -7.4678
1.1833 -3.6918 11.1408
Tl Cu S
4 4 10
direct
0.0000 0.9067 0.0000
0.5000 0.4067 0.0000
0.7485 0.9903 0.5000
0.2515 0.4903 0.5000
0.8629 0.3839 0.7211
0.1371 0.6628 0.2789
0.3583 0.8839 0.7211
0.6417 0.1628 0.2789
0.5632 0.6451 0.1293
0.4368 0.5158 0.8707
0.0661 0.1451 0.1293
0.9339 0.0158 0.8707
0.8091 0.7478 0.6247
0.1909 0.1232 0.3753
0.3155 0.2478 0.6247
0.6845 0.6232 0.3753
0.7516 0.3604 0.5000
0.2484 0.8604 0.5000
```


# 3
ZnNi2Se: relaxed, PBE.

Values from the calculation:
The calculation puts the density of states at the Fermi level at 1.94 states/eV/f.u. Its excess energy over the best structure of this formula in the dataset is 0 meV/atom. Its uncorrected formation energy is -67 meV per atom. The space-group type is No. 99.

POSCAR file:
```
ZnNi2Se
1.0
-2.0636 2.4197 0.8401
-2.5569 -1.8821 -0.8597
-0.2341 -1.8403 4.7251
Ni Se Zn
2 1 1
direct
0.0000 0.0000 0.9837
0.5000 0.5000 0.2760
0.0000 0.0000 0.4445
0.5000 0.5000 0.7958
```


# 4
TaTl3S: relaxed, PBE.

Values from the calculation:
The calculation puts the density of states at the Fermi level at 6.69 states/eV/f.u. Its excess energy over the best structure of this formula in the dataset is 0 meV/atom. Its uncorrected formation energy is 949 meV per atom. The space-group type is No. 221.

POSCAR file:
```
TaTl3S
1.0
5.5283 0.0000 0.0000
0.0000 5.5283 0.0000
0.0000 0.0000 5.5283
Tl S Ta
3 1 1
direct
0.0000 0.5000 0.0000
0.0000 0.0000 0.5000
0.5000 0.0000 0.0000
0.5000 0.5000 0.5000
0.0000 0.0000 0.0000
```


# 5
La12In3Sn: relaxed, PBE.

Values from the calculation:
The calculation puts the density of states at the Fermi level at 24.34 states/eV/f.u. For the formation energy, the calculation gives -0.350 eV/atom. The space-group type is No. 123.

POSCAR file:
```
La12In3Sn
1.0
5.0628 0.0000 0.0000
0.0000 5.0628 0.0000
0.0000 0.0000 20.1880
La In Sn
12 3 1
direct
0.5000 0.5000 0.0000
0.5000 0.5000 0.2498
0.5000 0.5000 0.5000
0.5000 0.5000 0.7502
0.5000 0.0000 0.1230
0.5000 0.0000 0.3743
0.5000 0.0000 0.6257
0.5000 0.0000 0.8770
0.0000 0.5000 0.1230
0.0000 0.5000 0.3743
0.0000 0.5000 0.6257
0.0000 0.5000 0.8770
0.0000 0.0000 0.2492
0.0000 0.0000 0.5000
0.0000 0.0000 0.7508
0.0000 0.0000 0.0000
```


# 6
Pm2PrAgN: relaxed, PBE.

Values from the calculation:
The calculation puts the density of states at the Fermi level at 4.93 states/eV/f.u. Its uncorrected formation energy is -598 meV per atom. The space-group type is No. 123.

POSCAR file:
```
Pm2PrAgN
1.0
4.9473 0.0000 0.0000
0.0000 4.9473 0.0000
0.0000 0.0002 5.0861
Pm Pr Ag N
2 1 1 1
direct
0.0000 0.5000 0.9999
0.5000 0.0000 0.9999
0.0000 0.0000 0.4999
0.5000 0.5000 0.5002
0.0000 0.0000 0.0001
```


# 7
CaBeCd: relaxed, PBE.

Values from the calculation:
The calculation puts the density of states at the Fermi level at 2.52 states/eV/f.u. Its excess energy over the best structure of this formula in the dataset is 662 meV/atom. For the formation energy, the calculation gives 0.723 eV/atom. The space-group type is No. 216.

POSCAR file:
```
CaBeCd
1.0
-3.0113 2.9038 2.5897
-0.2996 -0.4995 4.8854
1.8628 3.4719 2.9466
Be Ca Cd
1 1 1
direct
0.5000 0.5000 0.5000
0.7500 0.7500 0.7500
0.0000 0.0000 0.0000
```


# 8
AcDyGeIr: relaxed, PBE.

Values from the calculation:
The calculation puts the density of states at the Fermi level at 2.53 states/eV/f.u. Its excess energy over the best structure of this formula in the dataset is 0 meV/atom. For the formation energy, the calculation gives -0.603 eV/atom. The space-group type is No. 129.

POSCAR file:
```
AcDyGeIr
1.0
4.6886 0.0000 0.0000
0.0000 4.6886 0.0000
0.0000 0.0000 10.2680
Ac Dy Ge Ir
2 2 2 2
direct
0.0000 0.5000 0.8138
0.5000 0.0000 0.1862
0.0000 0.0000 0.5000
0.5000 0.5000 0.5000
0.5000 0.0000 0.8881
0.0000 0.5000 0.1119
0.0000 0.5000 0.3446
0.5000 0.0000 0.6554
```


Number 1 is which compound?
V5Mo3